# DyHo6Tl5

A relaxed DyHo6Tl5 crystal (PBE, the Alexandria database).

POSCAR file:
```
DyHo6Tl5
1.0
-2.4949 4.3943 7.5747
2.4949 -4.3943 7.5747
2.4949 4.3943 -7.5747
Dy Ho Tl
1 6 5
Direct
0.0000 0.0000 0.0000
0.0941 0.8300 0.2640
0.2743 0.5000 0.7743
0.4340 0.1700 0.2640
0.5660 0.8300 0.7360
0.7257 0.5000 0.2257
0.9059 0.1700 0.7360
0.1472 0.6472 0.5000
0.3200 0.3200 0.0000
0.5000 0.0000 0.5000
0.6800 0.6800 0.0000
0.8528 0.3528 0.5000
```

Properties
As for the density of states at the Fermi level: 12.22 states/eV/f.u. The density is 10.87 g/cm³. The formation energy is -0.26 eV per atom. The calculation puts the volume at 27.7 Å³/atom. The value obtained for the offset from the most stable computed form is 0.000 eV per formula unit.

=====

# LaYGeSe

A relaxed LaYGeSe crystal (PBE, the Alexandria database).

POSCAR file:
```
LaYGeSe
1.0
2.1322 1.2311 6.9911
-2.1322 1.2311 6.9911
0.0000 -2.4621 6.9911
La Y Ge Se
1 1 1 1
Direct
0.0000 0.0000 0.0000
0.5074 0.5074 0.5074
0.2500 0.2500 0.2500
0.7586 0.7586 0.7586
```

Properties
As for the density of states at the Fermi level: 1.32 states/eV/f.u. The value obtained for the formation energy (no corrections) is -137 kJ/mol of atoms. The density is 5.72 g/cm³. The calculation puts the volume at 27.5 Å³/atom.

=====

# SeIO2F

A relaxed SeIO2F crystal (PBE, the Alexandria database).

POSCAR file:
```
SeIO2F
1.0
3.7577 0.0000 0.0000
0.0000 3.7577 0.0000
0.0000 0.0000 6.5726
Se I O F
1 1 2 1
Direct
0.0000 0.0000 0.0000
0.0000 0.0000 0.5000
0.0000 0.5000 0.0000
0.5000 0.0000 0.0000
0.5000 0.5000 0.5000
```

Properties
As for the density of states at the Fermi level: 4.46 states/eV/f.u. The value obtained for the formation energy (no corrections) is -10 kJ/mol of atoms. The density is 4.60 g/cm³. The calculation puts the volume at 18.6 Å³/atom.

=====

Number 1: M_tot 0.003 μB/atom. Number 2: M_tot 0.000 μB/atom. Number 3: M_tot 0.000 μB/atom.